(1)
Fe2OsRu: relaxed, PBE.

## Properties
D(E_F) (states/eV/cell): 13.87
Energy relative to the elements (eV per atom): 0.1777
Calculated total energy (eV per atom): -9.18

```
data_Fe2OsRu
_chemical_formula_sum 'Fe6 Os3 Ru3'
_space_group_name_H-M_alt 'R -3 m'
_space_group_IT_number 166
_space_group_name_Hall '-R 3 2"'
_cell_length_a 2.6509
_cell_length_b 2.6509
_cell_length_c 25.6336
_cell_angle_alpha 90.00
_cell_angle_beta 90.00
_cell_angle_gamma 120.00
loop_
_atom_site_label
_atom_site_fract_x
_atom_site_fract_y
_atom_site_fract_z
Fe1 0.0000 0.0000 0.2498
Os1 0.0000 0.0000 0.0000
Ru1 0.0000 0.0000 0.5000
```

***

(2)
Fe2OsRu: relaxed, PBE.

## Properties
D(E_F) (states/eV/cell): 9.75
Energy relative to the elements (eV per atom): 0.2919
Calculated total energy (eV per atom): -9.07

```
data_Fe2OsRu
_chemical_formula_sum 'Fe4 Os2 Ru2'
_space_group_name_H-M_alt 'C m m m'
_space_group_IT_number 65
_space_group_name_Hall '-C 2 2'
_cell_length_a 2.854
_cell_length_b 4.404
_cell_length_c 8.519
_cell_angle_alpha 90.00
_cell_angle_beta 90.00
_cell_angle_gamma 90.00
loop_
_atom_site_label
_atom_site_fract_x
_atom_site_fract_y
_atom_site_fract_z
Fe1 0.000 0.000 0.249
Os1 0.000 0.500 0.500
Ru1 0.000 0.500 0.000
```

***

(3)
FeOs2Ru: relaxed, PBE.

## Properties
D(E_F) (states/eV/cell): 17.60
Distance to the lowest polymorph of the same formula (eV per formula unit): 4.67
Energy relative to the elements (eV per atom): 1.3038
Calculated total energy (eV per atom): -8.75

```
data_FeOs2Ru
_chemical_formula_sum 'Fe4 Os8 Ru4'
_space_group_name_H-M_alt 'I -4 2 d'
_space_group_IT_number 122
_space_group_name_Hall 'I -4 2bw'
_cell_length_a 5.260
_cell_length_b 5.260
_cell_length_c 11.157
_cell_angle_alpha 90.00
_cell_angle_beta 90.00
_cell_angle_gamma 90.00
loop_
_atom_site_label
_atom_site_fract_x
_atom_site_fract_y
_atom_site_fract_z
Fe1 0.000 0.000 0.000
Os1 0.226 0.250 0.125
Ru1 0.000 0.000 0.500
```

***

(4)
FeOs2Ru: relaxed, PBE.

## Properties
D(E_F) (states/eV/cell): 4.99
Distance to the lowest polymorph of the same formula (eV per formula unit): 1.39
Energy relative to the elements (eV per atom): 0.4826
Calculated total energy (eV per atom): -9.57

```
data_FeOs2Ru
_chemical_formula_sum 'Fe1 Os2 Ru1'
_space_group_name_H-M_alt 'P 4/m m m'
_space_group_IT_number 123
_space_group_name_Hall '-P 4 2'
_cell_length_a 4.472
_cell_length_b 4.472
_cell_length_c 2.783
_cell_angle_alpha 90.00
_cell_angle_beta 90.00
_cell_angle_gamma 90.00
loop_
_atom_site_label
_atom_site_fract_x
_atom_site_fract_y
_atom_site_fract_z
Fe1 0.000 0.000 0.000
Os1 0.000 0.500 0.500
Ru1 0.500 0.500 0.000
```

***

(5)
FeOs2Ru: relaxed, PBE.

## Properties
D(E_F) (states/eV/cell): 4.06
Distance to the lowest polymorph of the same formula (eV per formula unit): 0.02
Energy relative to the elements (eV per atom): 0.1412
Calculated total energy (eV per atom): -9.91

```
data_FeOs2Ru
_chemical_formula_sum 'Fe1 Os2 Ru1'
_space_group_name_H-M_alt 'P m m m'
_space_group_IT_number 47
_space_group_name_Hall '-P 2 2'
_cell_length_a 2.681
_cell_length_b 3.775
_cell_length_c 5.323
_cell_angle_alpha 90.00
_cell_angle_beta 90.00
_cell_angle_gamma 90.00
loop_
_atom_site_label
_atom_site_fract_x
_atom_site_fract_y
_atom_site_fract_z
Fe1 0.000 0.000 0.000
Os1 0.500 0.500 0.239
Ru1 0.000 0.000 0.500
```

***

(6)
FeOs2Ru: relaxed, PBE.

## Properties
D(E_F) (states/eV/cell): 8.12
Distance to the lowest polymorph of the same formula (eV per formula unit): 0.87
Energy relative to the elements (eV per atom): 0.3521
Calculated total energy (eV per atom): -9.70

```
data_FeOs2Ru
_chemical_formula_sum 'Fe2 Os4 Ru2'
_space_group_name_H-M_alt 'I m m 2'
_space_group_IT_number 44
_space_group_name_Hall 'I 2 -2'
_cell_length_a 2.834
_cell_length_b 4.347
_cell_length_c 8.949
_cell_angle_alpha 90.00
_cell_angle_beta 90.00
_cell_angle_gamma 90.00
loop_
_atom_site_label
_atom_site_fract_x
_atom_site_fract_y
_atom_site_fract_z
Fe1 0.000 0.000 0.000
Os1 0.000 0.000 0.504
Os2 0.000 0.500 0.275
Ru1 0.000 0.500 0.725
```

***

Question: What is the formula in the fifth record?
Answer: FeOs2Ru